[1]
The following is a GGA-PBE calculation of an optimized crystal structure of RbSc, from the Alexandria database.

```
8
Lattice="7.600 0.000 0.000 0.000 7.600 0.000 0.000 0.000 7.750" Properties=species:S:1:pos:R:3 pbc="T T T"
Rb 1.292 1.292 0.000
Rb 2.508 5.092 3.875
Rb 5.092 2.508 3.875
Rb 6.308 6.308 0.000
Sc 0.988 0.988 3.875
Sc 2.812 4.788 0.000
Sc 4.788 2.812 0.000
Sc 6.612 6.612 3.875
```

Computed properties:
Final energy = -19.98 eV per cell
Mass density = 1.9 g/cm3

[2]
The following is a GGA-PBE calculation of an optimized crystal structure of Ta3Cd, from the Alexandria database.

```
8
Lattice="5.885 0.000 0.000 0.000 8.793 0.000 0.000 0.000 2.902" Properties=species:S:1:pos:R:3 pbc="T T T"
Ta 0.000 0.000 0.000
Ta 1.471 2.198 1.451
Ta 1.471 6.595 1.451
Ta 2.942 4.396 0.000
Ta 4.414 2.198 1.451
Ta 4.414 6.595 1.451
Cd 0.000 4.396 0.000
Cd 2.942 0.000 0.000
```

Computed properties:
Final energy = -70.75 eV per cell
Mass density = 14.5 g/cm3

[3]
The following is a GGA-PBE calculation of an optimized crystal structure of Al2HgOs, from the Alexandria database.

```
12
Lattice="3.008 0.000 0.000 -1.504 2.605 0.000 0.000 0.000 26.015" Properties=species:S:1:pos:R:3 pbc="T T T"
Al 0.000 0.000 6.231
Al 0.000 0.000 19.784
Al 0.000 1.737 11.112
Al 0.000 1.737 23.575
Al 1.504 0.868 2.440
Al 1.504 0.868 14.903
Hg 0.000 0.000 0.000
Hg 0.000 1.737 17.344
Hg 1.504 0.868 8.672
Os 0.000 0.000 13.008
Os 0.000 1.737 4.336
Os 1.504 0.868 21.679
```

Computed properties:
Final energy = -56.86 eV per cell
Mass density = 10.9 g/cm3

[4]
The following is a GGA-PBE calculation of an optimized crystal structure of CaGa2Pt, from the Alexandria database.

```
32
Lattice="15.660 0.000 0.000 0.000 7.136 0.000 0.000 0.000 5.624" Properties=species:S:1:pos:R:3 pbc="T T T"
Ca 1.638 1.784 1.352
Ca 2.219 5.352 2.684
Ca 5.612 1.784 5.496
Ca 6.192 5.352 4.164
Ca 9.469 1.784 1.460
Ca 10.049 5.352 0.128
Ca 13.442 1.784 2.940
Ca 14.022 5.352 4.272
Ga 0.572 0.401 4.197
Ga 0.572 3.167 4.197
Ga 3.329 3.957 5.402
Ga 3.329 6.747 5.402
Ga 4.502 0.389 2.590
Ga 4.502 3.179 2.590
Ga 7.258 3.969 1.385
Ga 7.258 6.735 1.385
Ga 8.403 0.401 4.239
Ga 8.403 3.167 4.239
Ga 11.159 3.957 3.034
Ga 11.159 6.747 3.034
Ga 12.332 0.389 0.222
Ga 12.332 3.179 0.222
Ga 15.088 3.969 1.427
Ga 15.088 6.735 1.427
Pt 1.116 5.352 5.560
Pt 2.844 1.784 4.076
Pt 4.987 5.352 1.264
Pt 6.714 1.784 2.748
Pt 8.946 5.352 2.876
Pt 10.674 1.784 4.360
Pt 12.817 5.352 1.548
Pt 14.544 1.784 0.064
```

Computed properties:
Final energy = -137.29 eV per cell
Mass density = 7.9 g/cm3

Number 1: energy of formation 1.15 eV/atom. Number 2: energy of formation 0.27 eV/atom. Number 3: energy of formation 0.02 eV/atom. Number 4: energy of formation -0.77 eV/atom.